[1]
A relaxed structure of Ho2PS, computed with GGA-PBE.

Properties
N(E_F) in states/eV/cell: 2.376
Uncorrected formation energy in eV/atom: -1.76
Theoretical density in g/cm³: 7.38
Total moment in μB/cell: 0.0
DFT total energy in eV/cell: -25.7
Relative energy among the computed polymorphs in eV/atom: 0.1045

abc: 3.876 3.876 7.156
angles: 74.29 74.29 60.00
Sites, in units of the cell vectors:
1 Ho 0.077 0.077 0.769
2 Ho 0.256 0.256 0.231
3 P 0.668 0.668 0.996
4 S 0.499 0.499 0.504

=====

[2]
A relaxed structure of HoPS4, computed with GGA-PBE.

Properties
Uncorrected formation energy in eV/atom: -0.93
Theoretical density in g/cm³: 3.78
Total moment in μB/cell: 0.0
DFT total energy in eV/cell: -64.2

abc: 7.255 7.255 7.255
angles: 104.04 104.04 120.99
Sites, in units of the cell vectors:
1 Ho 0.000 0.000 0.000
2 Ho 0.750 0.250 0.500
3 P 0.250 0.750 0.500
4 P 0.500 0.500 0.000
5 S 0.262 0.937 0.324
6 S 0.613 0.937 0.676
7 S 0.687 0.863 0.176
8 S 0.488 0.313 0.176
9 S 0.687 0.512 0.824
10 S 0.063 0.387 0.324
11 S 0.137 0.313 0.824
12 S 0.063 0.738 0.676

=====

[3]
A relaxed structure of Ho6PS5, computed with GGA-PBE.

Properties
N(E_F) in states/eV/cell: 4.722
Uncorrected formation energy in eV/atom: -1.95
Theoretical density in g/cm³: 7.77
Total moment in μB/cell: 0.0
DFT total energy in eV/cell: -76.9

abc: 6.767 6.753 6.759
angles: 60.03 80.44 70.58
Sites, in units of the cell vectors:
1 P 0.000 0.000 0.000
2 S 0.500 0.168 0.664
3 S 0.000 0.333 0.334
4 S 0.500 0.500 0.000
5 S 0.000 0.667 0.666
6 S 0.500 0.832 0.336
7 Ho 0.754 0.082 0.327
8 Ho 0.246 0.591 0.327
9 Ho 0.245 0.246 0.000
10 Ho 0.755 0.754 0.000
11 Ho 0.754 0.409 0.673
12 Ho 0.246 0.918 0.673

=====

[4]
A relaxed structure of Ho4SbPS2, computed with GGA-PBE.

Properties
N(E_F) in states/eV/cell: 3.046
Uncorrected formation energy in eV/atom: -1.65
Theoretical density in g/cm³: 7.79
Total moment in μB/cell: 0.0
DFT total energy in eV/cell: -49.3

abc: 4.036 6.948 7.074
angles: 70.44 90.00 90.00
Sites, in units of the cell vectors:
1 Ho 0.000 0.764 0.727
2 Ho 0.000 0.236 0.273
3 Ho 0.500 0.751 0.265
4 Ho 0.500 0.249 0.735
5 Sb 0.500 0.500 0.000
6 P 0.000 0.500 0.500
7 S 0.000 0.000 0.000
8 S 0.500 0.000 0.500

=====

[5]
A relaxed structure of Ho4Sb2PS, computed with GGA-PBE.

Properties
N(E_F) in states/eV/cell: 1.453
Uncorrected formation energy in eV/atom: -1.44
Theoretical density in g/cm³: 7.92
Total moment in μB/cell: 0.0
DFT total energy in eV/cell: -47.6

abc: 4.136 7.248 7.157
angles: 70.84 90.00 90.00
Sites, in units of the cell vectors:
1 Ho 0.000 0.728 0.754
2 Ho 0.000 0.272 0.246
3 Ho 0.500 0.726 0.262
4 Ho 0.500 0.274 0.738
5 Sb 0.000 0.000 0.000
6 Sb 0.500 0.000 0.500
7 P 0.000 0.500 0.500
8 S 0.500 0.500 0.000

=====

[6]
A relaxed structure of HoScPS, computed with GGA-PBE.

Properties
N(E_F) in states/eV/cell: 2.555
Uncorrected formation energy in eV/atom: -1.71
Theoretical density in g/cm³: 5.58
Total moment in μB/cell: 0.0
DFT total energy in eV/cell: -27.3

abc: 3.771 3.771 6.943
angles: 90.00 105.75 120.00
Sites, in units of the cell vectors:
1 Ho 0.480 0.138 0.634
2 Sc 0.123 0.959 0.098
3 P 0.315 0.555 0.886
4 S 0.959 0.378 0.352

=====

[7]
A relaxed structure of Ho6PSe2S3, computed with GGA-PBE.

Properties
N(E_F) in states/eV/cell: 4.776
Uncorrected formation energy in eV/atom: -1.87
Theoretical density in g/cm³: 8.03
Total moment in μB/cell: 0.0
DFT total energy in eV/cell: -74.6

abc: 6.876 6.876 6.839
angles: 99.59 99.59 120.12
Sites, in units of the cell vectors:
1 Ho 0.913 0.597 0.739
2 Ho 0.771 0.771 0.262
3 Ho 0.087 0.403 0.261
4 Ho 0.597 0.913 0.739
5 Ho 0.229 0.229 0.738
6 Ho 0.403 0.087 0.261
7 P 0.000 0.000 0.000
8 Se 0.334 0.666 0.000
9 Se 0.666 0.334 0.000
10 S 0.172 0.828 0.500
11 S 0.828 0.172 0.500
12 S 0.500 0.500 0.500

=====

[8]
A relaxed structure of Ho8PSe3S4, computed with GGA-PBE.

Properties
N(E_F) in states/eV/cell: 5.426
Uncorrected formation energy in eV/atom: -1.87
Theoretical density in g/cm³: 8.08
Total moment in μB/cell: 0.0
DFT total energy in eV/cell: -98.9

abc: 7.928 7.935 7.928
angles: 119.97 120.00 90.00
Sites, in units of the cell vectors:
1 Ho 0.246 0.762 0.016
2 Ho 0.246 0.762 0.491
3 Ho 0.241 0.223 0.482
4 Ho 0.771 0.762 0.016
5 Ho 0.229 0.238 0.984
6 Ho 0.759 0.777 0.518
7 Ho 0.754 0.238 0.509
8 Ho 0.754 0.238 0.984
9 P 0.000 0.500 0.000
10 Se 0.500 0.500 0.000
11 Se 0.500 0.500 0.500
12 Se 0.000 0.500 0.500
13 S 0.500 0.000 0.000
14 S 0.500 0.000 0.500
15 S 0.000 0.000 0.000
16 S 0.000 0.000 0.500

=====

[9]
A relaxed structure of Ho6P3SeS2, computed with GGA-PBE.

Properties
N(E_F) in states/eV/cell: 3.983
Uncorrected formation energy in eV/atom: -1.83
Theoretical density in g/cm³: 7.66
Total moment in μB/cell: 0.0
DFT total energy in eV/cell: -77.4

abc: 3.962 7.959 8.894
angles: 103.33 102.87 90.00
Sites, in units of the cell vectors:
1 Ho 0.328 0.921 0.656
2 Ho 0.665 0.588 0.330
3 Ho 0.672 0.079 0.344
4 Ho 0.998 0.263 0.997
5 Ho 0.002 0.737 0.003
6 Ho 0.335 0.412 0.670
7 P 0.500 0.500 0.000
8 P 0.834 0.168 0.669
9 P 0.166 0.832 0.331
10 Se 0.500 0.000 0.000
11 S 0.833 0.667 0.666
12 S 0.167 0.333 0.334

=====

[10]
A relaxed structure of Ho8PSe4S3, computed with GGA-PBE.

Properties
N(E_F) in states/eV/cell: 5.386
Uncorrected formation energy in eV/atom: -1.85
Theoretical density in g/cm³: 8.15
Total moment in μB/cell: 0.0
DFT total energy in eV/cell: -97.9

abc: 7.926 8.032 7.926
angles: 119.56 120.00 90.00
Sites, in units of the cell vectors:
1 Ho 0.240 0.723 0.984
2 Ho 0.240 0.723 0.479
3 Ho 0.259 0.277 0.518
4 Ho 0.744 0.723 0.984
5 Ho 0.256 0.277 0.016
6 Ho 0.741 0.723 0.482
7 Ho 0.760 0.277 0.521
8 Ho 0.760 0.277 0.016
9 P 0.000 0.500 0.000
10 Se 0.500 0.000 0.000
11 Se 0.500 0.000 0.500
12 Se 0.000 0.000 0.000
13 Se 0.000 0.000 0.500
14 S 0.500 0.500 0.000
15 S 0.500 0.500 0.500
16 S 0.000 0.500 0.500

=====

[11]
A relaxed structure of Ho8P3Se4S, computed with GGA-PBE.

Properties
N(E_F) in states/eV/cell: 7.356
Uncorrected formation energy in eV/atom: -1.80
Theoretical density in g/cm³: 7.99
Total moment in μB/cell: 0.0
DFT total energy in eV/cell: -99.8

abc: 7.972 8.084 7.972
angles: 119.54 120.00 90.00
Sites, in units of the cell vectors:
1 Ho 0.244 0.727 0.983
2 Ho 0.244 0.727 0.489
3 Ho 0.258 0.273 0.515
4 Ho 0.738 0.727 0.983
5 Ho 0.262 0.273 0.017
6 Ho 0.742 0.727 0.485
7 Ho 0.756 0.273 0.511
8 Ho 0.756 0.273 0.017
9 P 0.500 0.500 0.000
10 P 0.500 0.500 0.500
11 P 0.000 0.500 0.500
12 Se 0.500 0.000 0.000
13 Se 0.500 0.000 0.500
14 Se 0.000 0.000 0.000
15 Se 0.000 0.000 0.500
16 S 0.000 0.500 0.000

=====

[12]
A relaxed structure of Ho6P2SeS3, computed with GGA-PBE.

Properties
N(E_F) in states/eV/cell: 3.528
Uncorrected formation energy in eV/atom: -1.87
Theoretical density in g/cm³: 7.78
Total moment in μB/cell: 0.0
DFT total energy in eV/cell: -76.6

abc: 3.946 7.908 8.830
angles: 102.57 102.91 90.00
Sites, in units of the cell vectors:
1 Ho 0.328 0.904 0.655
2 Ho 0.669 0.579 0.339
3 Ho 0.672 0.096 0.345
4 Ho 0.004 0.265 0.008
5 Ho 0.996 0.735 0.992
6 Ho 0.331 0.421 0.661
7 P 0.833 0.667 0.667
8 P 0.167 0.333 0.333
9 Se 0.500 0.000 0.000
10 S 0.500 0.500 0.000
11 S 0.836 0.165 0.673
12 S 0.164 0.835 0.327

=====

[13]
A relaxed structure of Ho4PSe2S, computed with GGA-PBE.

Properties
N(E_F) in states/eV/cell: 2.866
Uncorrected formation energy in eV/atom: -1.83
Theoretical density in g/cm³: 8.07
Total moment in μB/cell: 0.0
DFT total energy in eV/cell: -49.4

abc: 3.974 7.023 6.869
angles: 70.95 90.00 90.00
Sites, in units of the cell vectors:
1 Ho 0.000 0.725 0.754
2 Ho 0.000 0.275 0.246
3 Ho 0.500 0.725 0.262
4 Ho 0.500 0.275 0.738
5 P 0.000 0.500 0.500
6 Se 0.000 0.000 0.000
7 Se 0.500 0.000 0.500
8 S 0.500 0.500 0.000

=====

[14]
A relaxed structure of Ho6Si2PS3, computed with GGA-PBE.

Properties
N(E_F) in states/eV/cell: 2.264
Uncorrected formation energy in eV/atom: -1.54
Theoretical density in g/cm³: 7.21
Total moment in μB/cell: 0.0
DFT total energy in eV/cell: -74.6

abc: 3.991 7.990 8.925
angles: 102.85 102.92 90.00
Sites, in units of the cell vectors:
1 Ho 0.335 0.914 0.670
2 Ho 0.667 0.582 0.333
3 Ho 0.665 0.086 0.330
4 Ho 0.002 0.245 0.004
5 Ho 0.998 0.755 0.996
6 Ho 0.333 0.418 0.667
7 Si 0.833 0.667 0.667
8 Si 0.167 0.333 0.333
9 P 0.500 0.000 0.000
10 S 0.500 0.500 0.000
11 S 0.835 0.166 0.670
12 S 0.165 0.834 0.330

=====

[15]
A relaxed structure of Ho6SiP2S3, computed with GGA-PBE.

Properties
N(E_F) in states/eV/cell: 3.410
Uncorrected formation energy in eV/atom: -1.71
Theoretical density in g/cm³: 7.36
Total moment in μB/cell: 0.0
DFT total energy in eV/cell: -76.6

abc: 3.970 7.929 8.876
angles: 102.89 102.92 90.00
Sites, in units of the cell vectors:
1 Ho 0.335 0.912 0.670
2 Ho 0.669 0.578 0.338
3 Ho 0.665 0.088 0.330
4 Ho 0.001 0.248 0.003
5 Ho 0.999 0.752 0.997
6 Ho 0.331 0.422 0.662
7 Si 0.500 0.000 0.000
8 P 0.833 0.665 0.665
9 P 0.167 0.335 0.335
10 S 0.500 0.500 0.000
11 S 0.832 0.168 0.665
12 S 0.168 0.832 0.335

=====

[16]
A relaxed structure of Ho6SnP3S2, computed with GGA-PBE.

Properties
N(E_F) in states/eV/cell: 2.319
Uncorrected formation energy in eV/atom: -1.59
Theoretical density in g/cm³: 7.59
Total moment in μB/cell: 0.0
DFT total energy in eV/cell: -75.0

abc: 3.974 8.151 9.011
angles: 103.06 102.74 90.00
Sites, in units of the cell vectors:
1 Ho 0.326 0.918 0.653
2 Ho 0.665 0.590 0.331
3 Ho 0.674 0.082 0.347
4 Ho 0.000 0.270 0.000
5 Ho 0.000 0.730 0.000
6 Ho 0.335 0.410 0.669
7 Sn 0.500 0.000 0.000
8 P 0.500 0.500 0.000
9 P 0.833 0.169 0.667
10 P 0.167 0.831 0.333
11 S 0.830 0.660 0.660
12 S 0.170 0.340 0.340

=====

[17]
A relaxed structure of Ho6SnP2S3, computed with GGA-PBE.

Properties
N(E_F) in states/eV/cell: 4.350
Uncorrected formation energy in eV/atom: -1.64
Theoretical density in g/cm³: 7.66
Total moment in μB/cell: 0.0
DFT total energy in eV/cell: -74.3

abc: 3.979 8.087 8.972
angles: 102.57 102.81 90.00
Sites, in units of the cell vectors:
1 Ho 0.327 0.904 0.654
2 Ho 0.670 0.578 0.341
3 Ho 0.673 0.096 0.346
4 Ho 0.003 0.269 0.006
5 Ho 0.997 0.731 0.994
6 Ho 0.330 0.422 0.659
7 Sn 0.500 0.000 0.000
8 P 0.832 0.664 0.664
9 P 0.168 0.336 0.336
10 S 0.500 0.500 0.000
11 S 0.834 0.168 0.668
12 S 0.166 0.832 0.332

=====

[18]
A relaxed structure of Ho4SnPS2, computed with GGA-PBE.

Properties
N(E_F) in states/eV/cell: 2.389
Uncorrected formation energy in eV/atom: -1.53
Theoretical density in g/cm³: 7.73
Total moment in μB/cell: 0.0
DFT total energy in eV/cell: -48.2

abc: 4.007 7.009 7.085
angles: 70.63 90.00 90.00
Sites, in units of the cell vectors:
1 Ho 0.000 0.761 0.732
2 Ho 0.000 0.239 0.268
3 Ho 0.500 0.749 0.261
4 Ho 0.500 0.251 0.739
5 Sn 0.500 0.500 0.000
6 P 0.000 0.500 0.500
7 S 0.000 0.000 0.000
8 S 0.500 0.000 0.500

=====

[19]
A relaxed structure of TbHoPS, computed with GGA-PBE.

Properties
N(E_F) in states/eV/cell: 1.530
Uncorrected formation energy in eV/atom: -1.87
Theoretical density in g/cm³: 7.30
Total moment in μB/cell: 0.0
DFT total energy in eV/cell: -26.2

abc: 3.958 3.958 6.881
angles: 73.29 73.29 60.00
Sites, in units of the cell vectors:
1 Tb 0.691 0.691 0.927
2 Ho 0.197 0.197 0.409
3 P 0.943 0.943 0.171
4 S 0.445 0.445 0.665

=====

[20]
A relaxed structure of Ho6Te3PS2, computed with GGA-PBE.

Properties
N(E_F) in states/eV/cell: 3.539
Uncorrected formation energy in eV/atom: -1.61
Theoretical density in g/cm³: 8.14
Total moment in μB/cell: 0.0
DFT total energy in eV/cell: -69.9

abc: 7.038 7.038 7.360
angles: 99.19 99.19 119.99
Sites, in units of the cell vectors:
1 Ho 0.932 0.602 0.796
2 Ho 0.738 0.738 0.204
3 Ho 0.068 0.398 0.204
4 Ho 0.602 0.932 0.796
5 Ho 0.262 0.262 0.796
6 Ho 0.398 0.068 0.204
7 Te 0.167 0.833 0.500
8 Te 0.833 0.167 0.500
9 Te 0.500 0.500 0.500
10 P 0.000 0.000 0.000
11 S 0.333 0.667 0.000
12 S 0.667 0.333 0.000